[1]
TlCdAg2 PBE-GGA optimized geometry; polymorph energy (0 for the lowest one) = 0.20 eV/f.u.; formation energy = 0.11 eV/atom; calculated total energy = -2.14 eV/atom
1.0
9.648 -0.067 -0.039
9.119 3.151 -0.039
9.119 1.499 2.772
Ag Tl Cd
2 1 1
Direct
0.997 0.997 0.997
0.503 0.503 0.503
0.750 0.750 0.750
0.250 0.250 0.250

=====

[2]
Tb2ScHg2 PBE-GGA optimized geometry; polymorph energy (0 for the lowest one) = 0.00 eV/f.u.; formation energy = -0.33 eV/atom; calculated total energy = -3.57 eV/atom
1.0
-0.504 2.153 4.116
-2.215 -6.512 3.135
7.181 -1.613 1.723
Sc Hg Tb
2 4 4
Direct
0.000 0.000 0.000
0.000 0.500 0.500
0.000 0.863 0.637
0.000 0.137 0.363
0.000 0.363 0.863
0.000 0.637 0.137
0.500 0.670 0.830
0.500 0.330 0.170
0.500 0.830 0.330
0.500 0.170 0.670

=====

[3]
SnGe5Ir2 PBE-GGA optimized geometry; formation energy = 0.03 eV/atom; calculated total energy = -5.57 eV/atom
1.0
3.088 -0.232 0.453
0.171 7.044 2.776
-0.939 1.298 7.402
Ir Ge Sn
2 5 1
Direct
0.738 0.679 0.679
0.262 0.321 0.321
0.000 0.500 0.500
0.749 0.617 0.058
0.251 0.383 0.942
0.749 0.058 0.617
0.251 0.942 0.383
0.000 0.000 0.000

=====

[4]
TaPOs2 PBE-GGA optimized geometry; formation energy = 0.10 eV/atom; calculated total energy = -9.83 eV/atom
1.0
-1.995 1.995 3.729
1.995 -1.995 3.729
1.995 1.995 -3.729
Os P Ta
2 1 1
Direct
0.250 0.750 0.500
0.750 0.250 0.500
0.500 0.500 0.000
0.000 0.000 0.000